PuInTe2O (PBE-GGA, optimized geometry); DFT total energy = -70.32 eV for the cell shown; formation energy without anion corrections = -1.370 eV per atom
1.0
4.014 0.000 0.000
0.000 4.014 0.000
0.000 0.000 16.775
Pu In Te O
2 2 4 2
direct
0.250 0.250 0.070 Pu
0.750 0.750 0.930 Pu
0.250 0.250 0.652 In
0.750 0.750 0.348 In
0.250 0.250 0.402 Te
0.250 0.250 0.827 Te
0.750 0.750 0.173 Te
0.750 0.750 0.598 Te
0.250 0.750 0.000 O
0.750 0.250 0.000 O

---

ZrGaCu (PBE-GGA, optimized geometry); energy of formation = -0.80 eV per formula unit; DFT total energy = -32.95 eV for the cell shown
1.0
2.484 -3.762 0.000
2.484 3.762 0.000
0.000 0.000 5.494
Zr Ga Cu
2 2 2
direct
0.152 0.848 0.750 Zr
0.848 0.152 0.250 Zr
0.204 0.796 0.250 Ga
0.796 0.204 0.750 Ga
0.500 0.500 0.000 Cu
0.500 0.500 0.500 Cu

---

Ac5ErCd6 (PBE-GGA, optimized geometry); energy of formation = -3.33 eV per formula unit; DFT total energy = -33.93 eV for the cell shown
1.0
-2.831 4.020 8.539
2.831 -4.020 8.539
2.831 4.020 -8.539
Ac Er Cd
5 1 6
direct
0.000 0.000 0.000 Ac
0.164 0.664 0.500 Ac
0.327 0.327 0.000 Ac
0.673 0.673 0.000 Ac
0.836 0.336 0.500 Ac
0.500 0.000 0.500 Er
0.109 0.843 0.267 Cd
0.281 0.500 0.781 Cd
0.424 0.157 0.267 Cd
0.576 0.843 0.733 Cd
0.719 0.500 0.219 Cd
0.891 0.157 0.733 Cd

---

LaPr3In3 (PBE-GGA, optimized geometry); energy of formation = -2.50 eV per formula unit; DFT total energy = -59.96 eV for the cell shown; energy above the lowest structure with this stoichiometry = 0.0 meV per atom
1.0
9.832 0.000 0.000
-4.916 8.515 0.000
0.000 0.000 5.291
La Pr In
2 6 6
direct
0.333 0.667 0.250 La
0.667 0.333 0.750 La
0.003 0.241 0.750 Pr
0.238 0.997 0.750 Pr
0.241 0.238 0.250 Pr
0.759 0.762 0.750 Pr
0.762 0.003 0.250 Pr
0.997 0.759 0.250 Pr
0.068 0.613 0.750 In
0.387 0.455 0.750 In
0.455 0.068 0.250 In
0.545 0.932 0.750 In
0.613 0.545 0.250 In
0.932 0.387 0.250 In

---

La2CrBiSe (PBE-GGA, optimized geometry); DFT total energy = -24.31 eV for the cell shown; formation energy without anion corrections = 0.507 eV per atom
1.0
6.165 0.000 0.000
0.000 6.165 0.000
0.000 0.000 5.569
La Cr Bi Se
2 1 1 1
direct
0.000 0.500 0.000 La
0.500 0.000 0.000 La
0.000 0.000 0.500 Cr
0.500 0.500 0.000 Bi
0.500 0.500 0.500 Se

---

Li2Mg3 (PBE-GGA, optimized geometry); energy of formation = -0.15 eV per formula unit; DFT total energy = -17.52 eV for the cell shown; energy above the lowest structure with this stoichiometry = 27.5 meV per atom
1.0
0.000 7.308 2.780
5.172 0.000 2.780
5.172 7.308 0.000
Li Mg
4 6
direct
0.273 0.727 0.325 Li
0.575 0.925 0.523 Li
0.727 0.273 0.675 Li
0.925 0.575 0.977 Li
0.110 0.822 0.094 Mg
0.156 0.276 0.140 Mg
0.276 0.156 0.428 Mg
0.453 0.453 0.547 Mg
0.703 0.703 0.797 Mg
0.822 0.110 0.974 Mg

---

TiS2NO (PBE-GGA, optimized geometry); DFT total energy = -25.49 eV for the cell shown; formation energy without anion corrections = 0.789 eV per atom; energy above the lowest structure with this stoichiometry = 160.0 meV per atom
1.0
4.003 0.000 0.000
0.000 4.003 0.000
0.000 0.000 3.851
Ti S N O
1 2 1 1
direct
0.000 0.000 0.000 Ti
0.000 0.500 0.500 S
0.500 0.000 0.500 S
0.500 0.500 0.000 N
0.500 0.500 0.500 O

---

CeZrZnPd (PBE-GGA, optimized geometry); energy of formation = -1.14 eV per formula unit; DFT total energy = -22.09 eV for the cell shown
1.0
0.000 3.487 3.487
3.487 0.000 3.487
3.487 3.487 0.000
Ce Zr Zn Pd
1 1 1 1
direct
0.000 0.000 0.000 Ce
0.500 0.500 0.500 Zr
0.750 0.750 0.750 Zn
0.250 0.250 0.250 Pd

---

TbNdHf (PBE-GGA, optimized geometry); energy of formation = 0.50 eV per formula unit; DFT total energy = -18.86 eV for the cell shown; energy above the lowest structure with this stoichiometry = 47.5 meV per atom
1.0
3.426 0.000 0.000
-1.713 2.967 0.000
0.000 0.000 8.554
Tb Nd Hf
1 1 1
direct
0.000 0.000 0.000 Tb
0.667 0.333 0.380 Nd
0.333 0.667 0.695 Hf

---

TcTeP2 (PBE-GGA, optimized geometry); DFT total energy = -22.67 eV for the cell shown; formation energy without anion corrections = 0.415 eV per atom
1.0
-1.530 2.516 5.040
1.530 -2.516 5.040
1.530 2.516 -5.040
Tc Te P
1 1 2
direct
0.000 0.000 0.000 Tc
0.500 0.500 0.000 Te
0.184 0.684 0.500 P
0.816 0.316 0.500 P

---

ZrMo2W (PBE-GGA, optimized geometry); energy of formation = 0.17 eV per formula unit; DFT total energy = -42.99 eV for the cell shown; energy above the lowest structure with this stoichiometry = 71.6 meV per atom
1.0
0.000 3.249 3.249
3.249 0.000 3.249
3.249 3.249 0.000
Zr Mo W
1 2 1
direct
0.000 0.000 0.000 Zr
0.500 0.500 0.500 Mo
0.750 0.750 0.750 Mo
0.250 0.250 0.250 W

---

LaIr2Os (PBE-GGA, optimized geometry); energy of formation = 1.94 eV per formula unit; DFT total energy = -31.94 eV for the cell shown; energy above the lowest structure with this stoichiometry = 440.1 meV per atom
1.0
0.000 3.332 3.332
3.332 0.000 3.332
3.332 3.332 0.000
La Ir Os
1 2 1
direct
0.000 0.000 0.000 La
0.250 0.250 0.250 Ir
0.750 0.750 0.750 Ir
0.500 0.500 0.500 Os